Computed, not measured: crystalline Fe3AgTe5 at its relaxed geometry at the GGA-PBE level of DFT.

Properties
- Calculated total energy: -4.68 eV per atom
- Total moment: 6.04 μB/f.u.

a b c (Å): 5.6112 5.6112 7.7706
angles (deg): 90.00 90.00 120.00
Last column: nearest neighbours and their distance in Å.
Space group P6/mmm (No. 191)
Asymmetric unit:
Fe  0.0000  0.5000  0.0000 [3 per cell]  6 Te 2.60-2.81, 4 Fe 2.81
Ag  0.0000  0.0000  0.5000 [1 per cell]  14 Te 3.73-3.89
Te  0.0000  0.0000  0.0000 [1 per cell]  6 Fe 2.81
Te  0.3333  0.6667  0.2615 [4 per cell]  3 Fe 2.60